First-principles (PBE) data for an optimized crystal structure of Dy2SF3, as listed in Alexandria via LeMat-Bulk.

abc: 6.7581 6.7581 8.0669
angles: 102.10 102.10 33.82
Atoms (fractional coordinates):
Dy: 0.1114 0.1114 0.4202
Dy: 0.3737 0.3737 0.1421
Dy: 0.6263 0.6263 0.8579
Dy: 0.8886 0.8886 0.5798
S: 0.4126 0.4126 0.8147
S: 0.5874 0.5874 0.1853
F: 0.0818 0.0818 0.6916
F: 0.1922 0.1922 0.9749
F: 0.2865 0.2865 0.3958
F: 0.7135 0.7135 0.6042
F: 0.8078 0.8078 0.0251
F: 0.9182 0.9182 0.3084

## Properties
Theoretical density in g/cm3: 6.87
Symmetry: C2/m
Energy relative to the elements, uncorrected in eV/atom: -3.21


First-principles (PBE) data for an optimized crystal structure of LiCu2P, as listed in Alexandria via LeMat-Bulk.

abc: 2.7588 3.9245 4.8608
angles: 90.00 105.46 90.00
Atoms (fractional coordinates):
Li: 0.0000 0.0000 0.0000
Cu: 0.3415 0.5000 0.6914
Cu: 0.7276 0.0000 0.4698
P: 0.5941 0.5000 0.2117

## Properties
Energy of formation from the pure elements in eV per atom: -0.15
Theoretical density in g/cm3: 5.40
DOS(E_F) in states/eV per cell: 1.2
Symmetry: Pm


First-principles (PBE) data for an optimized crystal structure of CdIN2, as listed in Alexandria via LeMat-Bulk.

abc: 6.6296 6.6296 6.6296
angles: 32.39 32.39 32.39
Atoms (fractional coordinates):
Cd: 0.0000 0.0000 0.0000
I: 0.5000 0.5000 0.5000
N: 0.1114 0.1114 0.1114
N: 0.8886 0.8886 0.8886

## Properties
Theoretical density in g/cm3: 5.97
DOS(E_F) in states/eV per cell: 1.0
Symmetry: R-3m
Offset from the most stable computed form in kcal/mol of atoms: 4.20
Energy relative to the elements, uncorrected in eV/atom: 1.48


First-principles (PBE) data for an optimized crystal structure of Cu2GeTe4Au, as listed in Alexandria via LeMat-Bulk.

abc: 7.4335 7.4335 7.4335
angles: 131.37 131.37 71.23
Atoms (fractional coordinates):
Cu: 0.2500 0.7500 0.5000
Cu: 0.7500 0.2500 0.5000
Ge: 0.0000 0.0000 0.0000
Te: 0.1117 0.1117 0.4928
Te: 0.3812 0.8883 0.0000
Te: 0.6188 0.6188 0.5072
Te: 0.8883 0.3812 0.0000
Au: 0.5000 0.5000 0.0000

## Properties
Theoretical density in g/cm3: 6.65
DOS(E_F) in states/eV per cell: 4.3
Symmetry: I-42m
Energy relative to the elements, uncorrected in eV/atom: -0.10